[1]
Material: Tm4InIrRu2
Method: DFT, PBE
State: optimized geometry

Structure (CIF):
```
data_Tm4InIrRu2
_chemical_formula_sum 'Tm4 In1 Ir1 Ru2'
_space_group_name_H-M_alt 'P 1'
_space_group_IT_number 1
_cell_length_a 4.855
_cell_length_b 4.855
_cell_length_c 8.502
_cell_angle_alpha 73.41
_cell_angle_beta 73.41
_cell_angle_gamma 60.00
loop_
_space_group_symop_operation_xyz
'x,y,z'
loop_
_atom_site_label
_atom_site_fract_x
_atom_site_fract_y
_atom_site_fract_z
Ir1 0.500 0.500 0.500
Tm1 0.618 0.618 0.146
Tm2 0.870 0.870 0.389
Tm3 0.130 0.130 0.611
Tm4 0.382 0.382 0.854
In1 0.000 0.000 0.000
Ru1 0.748 0.748 0.755
Ru2 0.252 0.252 0.245
```

Results
Total moment   0.0 μB per formula unit
E_tot   -52.473 eV for the cell shown
Energy of formation from the pure elements   -0.554 eV per atom
Density of states at the Fermi level   0.5296 states/eV/atom

[2]
Material: TmInIrRu
Method: DFT, PBE
State: optimized geometry

Structure (CIF):
```
data_TmInIrRu
_chemical_formula_sum 'Tm1 In1 Ir1 Ru1'
_space_group_name_H-M_alt 'P 1'
_space_group_IT_number 1
_cell_length_a 4.665
_cell_length_b 4.665
_cell_length_c 4.665
_cell_angle_alpha 60.00
_cell_angle_beta 60.00
_cell_angle_gamma 60.00
loop_
_space_group_symop_operation_xyz
'x,y,z'
loop_
_atom_site_label
_atom_site_fract_x
_atom_site_fract_y
_atom_site_fract_z
Ir1 0.250 0.250 0.250
Ru1 0.750 0.750 0.750
In1 0.000 0.000 0.000
Tm1 0.500 0.500 0.500
```

Results
Total moment   0.0 μB per formula unit
E_tot   -26.960 eV for the cell shown
Energy of formation from the pure elements   -0.403 eV per atom
Density of states at the Fermi level   0.8438 states/eV/atom

[3]
Material: UInIrRu
Method: DFT, PBE
State: optimized geometry

Structure (CIF):
```
data_UInIrRu
_chemical_formula_sum 'U1 In1 Ir1 Ru1'
_space_group_name_H-M_alt 'P 1'
_space_group_IT_number 1
_cell_length_a 4.721
_cell_length_b 4.721
_cell_length_c 4.721
_cell_angle_alpha 60.00
_cell_angle_beta 60.00
_cell_angle_gamma 60.00
loop_
_space_group_symop_operation_xyz
'x,y,z'
loop_
_atom_site_label
_atom_site_fract_x
_atom_site_fract_y
_atom_site_fract_z
U1 0.500 0.500 0.500
In1 0.000 0.000 0.000
Ru1 0.250 0.250 0.250
Ir1 0.750 0.750 0.750
```

Results
Total moment   1.8 μB per formula unit
E_tot   -33.148 eV for the cell shown
Energy of formation from the pure elements   -0.246 eV per atom
Density of states at the Fermi level   1.1163 states/eV/atom

[4]
Material: VInIrRu
Method: DFT, PBE
State: optimized geometry

Structure (CIF):
```
data_VInIrRu
_chemical_formula_sum 'V1 In1 Ir1 Ru1'
_space_group_name_H-M_alt 'P 1'
_space_group_IT_number 1
_cell_length_a 4.437
_cell_length_b 4.437
_cell_length_c 4.437
_cell_angle_alpha 60.00
_cell_angle_beta 60.00
_cell_angle_gamma 60.00
loop_
_space_group_symop_operation_xyz
'x,y,z'
loop_
_atom_site_label
_atom_site_fract_x
_atom_site_fract_y
_atom_site_fract_z
Ru1 0.250 0.250 0.250
V1 0.500 0.500 0.500
Ir1 0.750 0.750 0.750
In1 0.000 0.000 0.000
```

Results
Total moment   1.0 μB per formula unit
E_tot   -30.471 eV for the cell shown
Energy of formation from the pure elements   -0.119 eV per atom
Density of states at the Fermi level   1.0663 states/eV/atom

[5]
Material: InIrRu2W
Method: DFT, PBE
State: optimized geometry

Structure (CIF):
```
data_InIrRu2W
_chemical_formula_sum 'In1 Ir1 Ru2 W1'
_space_group_name_H-M_alt 'P 1'
_space_group_IT_number 1
_cell_length_a 4.716
_cell_length_b 4.741
_cell_length_c 4.716
_cell_angle_alpha 90.00
_cell_angle_beta 90.00
_cell_angle_gamma 90.00
loop_
_space_group_symop_operation_xyz
'x,y,z'
loop_
_atom_site_label
_atom_site_fract_x
_atom_site_fract_y
_atom_site_fract_z
W1 0.000 0.000 0.000
In1 0.500 0.500 0.500
Ru1 0.000 0.000 0.500
Ru2 0.500 0.000 0.000
Ir1 0.000 0.500 0.000
```

Results
Total moment   0.0 μB per formula unit
E_tot   -36.396 eV for the cell shown
Energy of formation from the pure elements   1.342 eV per atom
Density of states at the Fermi level   0.8105 states/eV/atom

[6]
Material: YInIrRu
Method: DFT, PBE
State: optimized geometry

Structure (CIF):
```
data_YInIrRu
_chemical_formula_sum 'Y1 In1 Ir1 Ru1'
_space_group_name_H-M_alt 'P 1'
_space_group_IT_number 1
_cell_length_a 4.706
_cell_length_b 4.706
_cell_length_c 4.706
_cell_angle_alpha 60.00
_cell_angle_beta 60.00
_cell_angle_gamma 60.00
loop_
_space_group_symop_operation_xyz
'x,y,z'
loop_
_atom_site_label
_atom_site_fract_x
_atom_site_fract_y
_atom_site_fract_z
Ru1 0.250 0.250 0.250
Ir1 0.750 0.750 0.750
In1 0.000 0.000 0.000
Y1 0.500 0.500 0.500
```

Results
Total moment   0.0 μB per formula unit
E_tot   -28.610 eV for the cell shown
Energy of formation from the pure elements   -0.318 eV per atom
Density of states at the Fermi level   0.9162 states/eV/atom

[7]
Material: In4IrS2
Method: DFT, PBE
State: optimized geometry

Structure (CIF):
```
data_In4IrS2
_chemical_formula_sum 'In4 Ir1 S2'
_space_group_name_H-M_alt 'P 1'
_space_group_IT_number 1
_cell_length_a 3.968
_cell_length_b 6.367
_cell_length_c 7.668
_cell_angle_alpha 106.07
_cell_angle_beta 89.98
_cell_angle_gamma 108.34
loop_
_space_group_symop_operation_xyz
'x,y,z'
loop_
_atom_site_label
_atom_site_fract_x
_atom_site_fract_y
_atom_site_fract_z
In1 0.624 0.247 0.916
In2 0.376 0.753 0.084
In3 0.878 0.754 0.655
In4 0.122 0.246 0.345
S1 0.351 0.702 0.420
S2 0.649 0.298 0.580
Ir1 0.000 0.000 0.000
```

Results
Total moment   0.0 μB per formula unit
E_tot   -30.234 eV for the cell shown
Uncorrected formation energy   -309 meV per atom
Density of states at the Fermi level   0.2383 states/eV/atom

[8]
Material: In3IrS
Method: DFT, PBE
State: optimized geometry

Structure (CIF):
```
data_In3IrS
_chemical_formula_sum 'In3 Ir1 S1'
_space_group_name_H-M_alt 'P 1'
_space_group_IT_number 1
_cell_length_a 5.145
_cell_length_b 5.145
_cell_length_c 5.145
_cell_angle_alpha 90.00
_cell_angle_beta 90.00
_cell_angle_gamma 90.00
loop_
_space_group_symop_operation_xyz
'x,y,z'
loop_
_atom_site_label
_atom_site_fract_x
_atom_site_fract_y
_atom_site_fract_z
In1 0.000 0.000 0.500
In2 0.000 0.500 0.000
In3 0.500 0.000 0.000
S1 0.500 0.500 0.500
Ir1 0.000 0.000 0.000
```

Results
Total moment   0.0 μB per formula unit
E_tot   -21.236 eV for the cell shown
Uncorrected formation energy   -6 meV per atom
Density of states at the Fermi level   0.4609 states/eV/atom
Offset from the most stable computed form   0 meV per atom

[9]
Material: InIrS
Method: DFT, PBE
State: optimized geometry

Structure (CIF):
```
data_InIrS
_chemical_formula_sum 'In6 Ir6 S6'
_space_group_name_H-M_alt 'P 1'
_space_group_IT_number 1
_cell_length_a 5.757
_cell_length_b 6.503
_cell_length_c 9.052
_cell_angle_alpha 90.00
_cell_angle_beta 90.00
_cell_angle_gamma 90.00
loop_
_space_group_symop_operation_xyz
'x,y,z'
loop_
_atom_site_label
_atom_site_fract_x
_atom_site_fract_y
_atom_site_fract_z
In1 0.665 0.407 0.165
In2 0.165 0.593 0.335
In3 0.849 0.904 0.000
In4 0.665 0.407 0.835
In5 0.349 0.096 0.500
In6 0.165 0.593 0.665
S1 0.304 0.130 0.822
S2 0.804 0.870 0.678
S3 0.304 0.130 0.178
S4 0.804 0.870 0.322
S5 0.702 0.355 0.500
S6 0.202 0.645 0.000
Ir1 0.050 0.261 0.000
Ir2 0.481 0.778 0.833
Ir3 0.981 0.222 0.333
Ir4 0.550 0.739 0.500
Ir5 0.481 0.778 0.167
Ir6 0.981 0.222 0.667
```

Results
Total moment   0.0 μB per formula unit
E_tot   -99.592 eV for the cell shown
Uncorrected formation energy   -291 meV per atom
Density of states at the Fermi level   0.0009 states/eV/atom
Offset from the most stable computed form   0 meV per atom

[10]
Material: InIrS
Method: DFT, PBE
State: optimized geometry

Structure (CIF):
```
data_InIrS
_chemical_formula_sum 'In2 Ir2 S2'
_space_group_name_H-M_alt 'P 1'
_space_group_IT_number 1
_cell_length_a 6.080
_cell_length_b 2.963
_cell_length_c 6.849
_cell_angle_alpha 115.55
_cell_angle_beta 90.00
_cell_angle_gamma 90.00
loop_
_space_group_symop_operation_xyz
'x,y,z'
loop_
_atom_site_label
_atom_site_fract_x
_atom_site_fract_y
_atom_site_fract_z
In1 0.990 0.767 0.750
In2 0.802 0.267 0.250
Ir1 0.625 0.426 0.909
Ir2 0.166 0.926 0.409
S1 0.280 0.571 0.053
S2 0.511 0.071 0.553
```

Results
Total moment   0.0 μB per formula unit
E_tot   -31.964 eV for the cell shown
Uncorrected formation energy   -85 meV per atom
Density of states at the Fermi level   0.3870 states/eV/atom
Offset from the most stable computed form   205 meV per atom

[11]
Material: In3IrS2
Method: DFT, PBE
State: optimized geometry

Structure (CIF):
```
data_In3IrS2
_chemical_formula_sum 'In3 Ir1 S2'
_space_group_name_H-M_alt 'P 1'
_space_group_IT_number 1
_cell_length_a 3.614
_cell_length_b 5.493
_cell_length_c 7.318
_cell_angle_alpha 112.04
_cell_angle_beta 104.30
_cell_angle_gamma 90.00
loop_
_space_group_symop_operation_xyz
'x,y,z'
loop_
_atom_site_label
_atom_site_fract_x
_atom_site_fract_y
_atom_site_fract_z
Ir1 0.000 0.500 0.000
In1 0.000 0.000 0.000
In2 0.658 0.658 0.316
In3 0.342 0.342 0.684
S1 0.301 0.801 0.601
S2 0.699 0.199 0.399
```

Results
Total moment   0.0 μB per formula unit
E_tot   -26.453 eV for the cell shown
Uncorrected formation energy   -187 meV per atom
Density of states at the Fermi level   0.2152 states/eV/atom

[12]
Material: In5IrS2
Method: DFT, PBE
State: optimized geometry

Structure (CIF):
```
data_In5IrS2
_chemical_formula_sum 'In20 Ir4 S8'
_space_group_name_H-M_alt 'P 1'
_space_group_IT_number 1
_cell_length_a 6.531
_cell_length_b 10.292
_cell_length_c 14.173
_cell_angle_alpha 105.88
_cell_angle_beta 90.00
_cell_angle_gamma 90.00
loop_
_space_group_symop_operation_xyz
'x,y,z'
loop_
_atom_site_label
_atom_site_fract_x
_atom_site_fract_y
_atom_site_fract_z
In1 0.228 0.465 0.355
In2 0.243 0.572 0.653
In3 0.692 0.933 0.331
In4 0.684 0.059 0.111
In5 0.272 0.465 0.855
In6 0.816 0.059 0.611
In7 0.808 0.933 0.831
In8 0.477 0.246 0.490
In9 0.772 0.535 0.645
In10 0.308 0.067 0.669
In11 0.257 0.572 0.153
In12 0.192 0.067 0.169
In13 0.977 0.754 0.010
In14 0.728 0.535 0.145
In15 0.523 0.754 0.510
In16 0.023 0.246 0.990
In17 0.757 0.428 0.347
In18 0.743 0.428 0.847
In19 0.316 0.941 0.889
In20 0.184 0.941 0.389
S1 0.971 0.742 0.298
S2 0.521 0.120 0.828
S3 0.979 0.120 0.328
S4 0.471 0.258 0.202
S5 0.529 0.742 0.798
S6 0.479 0.880 0.172
S7 0.029 0.258 0.702
S8 0.021 0.880 0.672
Ir1 0.000 0.000 0.000
Ir2 0.500 0.000 0.500
Ir3 0.000 0.500 0.000
Ir4 0.500 0.500 0.500
```

Results
Total moment   0.0 μB per formula unit
E_tot   -131.025 eV for the cell shown
Uncorrected formation energy   -244 meV per atom
Density of states at the Fermi level   0.2034 states/eV/atom